[1]
# Pr2BeSnRh6

A relaxed structure of Pr2BeSnRh6 (PBE, the Alexandria database).

## Properties
Formation enthalpy at 0 K   -0.301 eV/atom
Calculated volume   19.1 Å³/atom
D(E_F)   10.621 states/eV/cell
Space-group type   C2/m

```
data_Pr2BeSnRh6
_chemical_formula_sum 'Pr2 Be1 Sn1 Rh6'
_space_group_name_H-M_alt 'P 1'
_space_group_IT_number 1
_space_group_name_Hall 'P 1'
_cell_length_a 6.466
_cell_length_b 6.466
_cell_length_c 6.462
_cell_angle_alpha 119.96
_cell_angle_beta 119.96
_cell_angle_gamma 90.00
loop_
_atom_site_label
_atom_site_type_symbol
_atom_site_fract_x
_atom_site_fract_y
_atom_site_fract_z
Pr1 Pr 0.250 0.750 0.000
Pr2 Pr 0.750 0.250 0.000
Be1 Be 0.000 0.000 0.500
Sn1 Sn 0.500 0.500 0.500
Rh1 Rh 0.227 0.227 0.500
Rh2 Rh 0.227 0.227 0.954
Rh3 Rh 0.227 0.773 0.500
Rh4 Rh 0.773 0.227 0.500
Rh5 Rh 0.773 0.773 0.046
Rh6 Rh 0.773 0.773 0.500
```


[2]
# Tb4SbS2

A relaxed structure of Tb4SbS2 (PBE, the Alexandria database).

## Properties
Energy relative to the elements, uncorrected   -1494.3 meV/atom
Calculated volume   25.1 Å³/atom
D(E_F)   6.792 states/eV/cell
Space-group type   Cmcm

```
data_Tb4SbS2
_chemical_formula_sum 'Tb8 Sb2 S4'
_space_group_name_H-M_alt 'P 1'
_space_group_IT_number 1
_space_group_name_Hall 'P 1'
_cell_length_a 6.803
_cell_length_b 6.803
_cell_length_c 13.323
_cell_angle_alpha 90.00
_cell_angle_beta 90.00
_cell_angle_gamma 145.17
loop_
_atom_site_label
_atom_site_type_symbol
_atom_site_fract_x
_atom_site_fract_y
_atom_site_fract_z
Tb1 Tb 0.000 0.000 0.000
Tb2 Tb 0.000 0.000 0.500
Tb3 Tb 0.264 0.736 0.616
Tb4 Tb 0.264 0.736 0.884
Tb5 Tb 0.434 0.566 0.250
Tb6 Tb 0.566 0.434 0.750
Tb7 Tb 0.736 0.264 0.116
Tb8 Tb 0.736 0.264 0.384
Sb1 Sb 0.110 0.890 0.250
Sb2 Sb 0.890 0.110 0.750
S1 S 0.368 0.632 0.059
S2 S 0.368 0.632 0.441
S3 S 0.632 0.368 0.559
S4 S 0.632 0.368 0.941
```


[3]
# TmGaCu3

A relaxed structure of TmGaCu3 (PBE, the Alexandria database).

## Properties
Formation enthalpy at 0 K   0.088 eV/atom
Calculated volume   18.3 Å³/atom
D(E_F)   3.621 states/eV/cell
Space-group type   Pbam
Relative energy among the computed polymorphs   1.85 eV per formula unit

```
data_TmGaCu3
_chemical_formula_sum 'Tm2 Ga2 Cu6'
_space_group_name_H-M_alt 'P 1'
_space_group_IT_number 1
_space_group_name_Hall 'P 1'
_cell_length_a 5.552
_cell_length_b 7.344
_cell_length_c 4.498
_cell_angle_alpha 90.00
_cell_angle_beta 90.00
_cell_angle_gamma 90.00
loop_
_atom_site_label
_atom_site_type_symbol
_atom_site_fract_x
_atom_site_fract_y
_atom_site_fract_z
Tm1 Tm 0.000 0.000 0.000
Tm2 Tm 0.500 0.500 0.000
Ga1 Ga 0.000 0.500 0.500
Ga2 Ga 0.500 0.000 0.500
Cu1 Cu 0.000 0.500 0.000
Cu2 Cu 0.246 0.247 0.500
Cu3 Cu 0.254 0.747 0.500
Cu4 Cu 0.500 0.000 0.000
Cu5 Cu 0.746 0.253 0.500
Cu6 Cu 0.754 0.753 0.500
```


[4]
# AsIrPt2

A relaxed structure of AsIrPt2 (PBE, the Alexandria database).

## Properties
Formation enthalpy at 0 K   0.059 eV/atom
Calculated volume   15.7 Å³/atom
D(E_F)   2.547 states/eV/cell
Space-group type   Cmmm

```
data_AsIrPt2
_chemical_formula_sum 'As1 Ir1 Pt2'
_space_group_name_H-M_alt 'P 1'
_space_group_IT_number 1
_space_group_name_Hall 'P 1'
_cell_length_a 4.782
_cell_length_b 4.782
_cell_length_c 2.938
_cell_angle_alpha 90.00
_cell_angle_beta 90.00
_cell_angle_gamma 110.78
loop_
_atom_site_label
_atom_site_type_symbol
_atom_site_fract_x
_atom_site_fract_y
_atom_site_fract_z
As1 As 0.000 0.000 0.000
Ir1 Ir 0.500 0.500 0.000
Pt1 Pt 0.000 0.500 0.500
Pt2 Pt 0.500 0.000 0.500
```


[5]
# AlCdIn4

A relaxed structure of AlCdIn4 (PBE, the Alexandria database).

## Properties
Formation enthalpy at 0 K   0.273 eV/atom
Calculated volume   27.4 Å³/atom
D(E_F)   3.049 states/eV/cell
Space-group type   F-43m

```
data_AlCdIn4
_chemical_formula_sum 'Al1 Cd1 In4'
_space_group_name_H-M_alt 'P 1'
_space_group_IT_number 1
_space_group_name_Hall 'P 1'
_cell_length_a 6.148
_cell_length_b 6.148
_cell_length_c 6.148
_cell_angle_alpha 60.00
_cell_angle_beta 60.00
_cell_angle_gamma 60.00
loop_
_atom_site_label
_atom_site_type_symbol
_atom_site_fract_x
_atom_site_fract_y
_atom_site_fract_z
Al1 Al 0.000 0.000 0.000
Cd1 Cd 0.750 0.750 0.750
In1 In 0.375 0.375 0.375
In2 In 0.375 0.375 0.875
In3 In 0.375 0.875 0.375
In4 In 0.875 0.375 0.375
```


calculated volume of number 3 (TmGaCu3)? 18.3 Å³/atom